# FeOs2Au

A geometry-optimized FeOs2Au structure (PBE, Alexandria).

Structure (POSCAR):
```
FeOs2Au
1.0
2.7627 0.0000 0.0000
0.0000 4.6293 0.0000
0.0000 0.0000 4.7026
Os Fe Au
2 1 1
Direct
0.5000 0.5000 0.0000
0.0000 0.0000 0.0000
0.0000 0.5000 0.5000
0.5000 0.0000 0.5000
```

DFT formation energy   0.618 eV/atom
Excess energy over the best structure of this formula in the dataset   0.3429 eV/atom
Fermi-level density of states   4.9 states/eV/f.u.